No. 1
Mg4Zn2In5 (PBE, optimized geometry); total magnetic moment = 0.00 μB/cell; energy of formation = -65 meV per atom; symmetry = P2/m
1.0
3.227 0.000 0.000
0.000 7.952 -0.079
0.000 -0.864 9.579
Mg Zn In
4 2 5
Cartesian
1.614 5.594 5.449
1.614 0.813 8.223
1.614 1.494 4.051
1.614 6.275 1.277
0.000 0.055 5.986
0.000 7.032 3.514
0.000 4.073 3.121
0.000 1.105 1.344
0.000 3.976 -0.039
0.000 5.982 8.156
0.000 3.015 6.379

***

No. 2
YMg2Au (PBE, optimized geometry); total magnetic moment = 0.00 μB/cell; energy of formation = -412 meV per atom; symmetry = P4mm
1.0
-2.763 0.441 -2.053
1.309 -2.291 -2.254
-3.639 -5.692 3.673
Au Mg Y
1 2 1
Cartesian
-3.534 -5.316 0.680
-3.524 -5.512 3.557
-1.547 -2.207 -1.326
-1.946 -3.045 1.965

***

No. 3
SiTc2MoSe (PBE, optimized geometry); uncorrected formation energy = 6.2 eV per formula unit; total magnetic moment = 1.85 μB/cell; symmetry = P4/mmm
1.0
4.508 0.000 0.000
0.000 4.620 0.000
0.000 0.000 4.508
Mo Si Tc Se
1 1 2 1
Cartesian
0.000 2.310 0.000
2.254 2.310 2.254
0.000 0.000 2.254
2.254 0.000 0.000
0.000 0.000 0.000

***

No. 4
Th4MnBi (PBE, optimized geometry); total magnetic moment = 0.00 μB/cell; energy of formation = -161 meV per atom; symmetry = Pnma
1.0
-0.108 3.715 -1.446
-8.389 -1.018 -1.989
-5.047 6.788 17.820
Th Mn Bi
16 4 4
Cartesian
-10.358 6.277 8.653
-3.186 3.208 5.733
-6.272 1.208 0.824
-7.272 8.277 13.562
-9.607 4.990 5.290
-3.937 4.496 9.096
-10.190 6.756 15.370
-3.354 2.730 -0.984
-13.078 8.110 13.566
-0.466 1.376 0.820
-6.502 3.343 6.326
-7.042 6.142 8.060
-9.455 3.261 0.835
-4.090 6.225 13.551
-7.959 5.279 11.408
-5.586 4.207 2.978
-4.721 5.562 6.394
-8.823 3.924 7.992
-6.659 7.163 16.153
-6.886 2.322 -1.767
-10.201 7.583 11.998
-3.343 1.902 2.388
-8.185 2.264 3.678
-5.360 7.222 10.709

***

No. 5
BeZnPb2 (PBE, optimized geometry); total magnetic moment = 0.00 μB/cell; energy of formation = 606 meV per atom; symmetry = F-43m
1.0
5.130 0.000 0.000
2.565 4.442 0.000
2.565 1.481 4.188
Pb Be Zn
2 1 1
Cartesian
0.000 0.000 0.000
2.565 1.481 1.047
5.130 2.962 2.094
7.695 4.442 3.141

***

No. 6
Ag2OsBr (PBE, optimized geometry); uncorrected formation energy = 4.6 eV per formula unit; total magnetic moment = 1.13 μB/cell; symmetry = P4/mmm
1.0
-0.244 3.522 -2.874
-2.617 -2.019 -2.253
-3.017 1.531 2.133
Os Br Ag
1 1 2
Cartesian
-1.630 2.527 -0.371
-1.430 0.752 -2.563
0.000 0.000 0.000
-2.817 -0.244 -0.060

***

No. 7
Ta3Re4Mo (PBE, optimized geometry); total magnetic moment = 0.00 μB/cell; energy of formation = -284 meV per atom; symmetry = P4/mmm
1.0
-1.810 -2.606 -0.235
2.400 -1.768 1.113
-4.184 1.830 11.928
Re Mo Ta
4 1 3
Cartesian
-3.668 1.605 10.459
-0.515 0.225 1.469
-1.565 0.684 4.461
-2.619 1.146 7.467
0.295 -2.187 0.439
-0.745 -1.732 3.405
-1.797 -1.272 6.403
-2.848 -0.812 9.401

***

No. 8
Nd3Ho12Sc (PBE, optimized geometry); total magnetic moment = 0.00 μB/cell; energy of formation = 28 meV per atom; symmetry = P4/mmm
1.0
-2.649 2.638 3.334
-3.879 -3.108 -0.623
6.946 -11.617 14.709
Nd Ho Sc
3 12 1
Cartesian
1.719 -2.875 3.641
3.473 -5.809 7.355
5.227 -8.742 11.068
-3.264 -0.235 1.356
-1.554 -3.095 4.977
0.209 -6.043 8.710
1.972 -8.992 12.444
-0.494 -0.070 3.425
1.267 -3.016 7.156
3.030 -5.963 10.887
4.791 -8.910 14.618
-1.109 -2.942 1.447
0.652 -5.889 5.177
2.415 -8.836 8.909
4.176 -11.782 12.640
0.000 0.000 0.000

***

No. 9
Zn2As (PBE, optimized geometry); total magnetic moment = 0.00 μB/cell; energy of formation = 33 meV per atom; symmetry = Pbcn
1.0
-1.997 -4.251 1.125
3.622 -3.112 -5.325
5.175 -1.299 4.279
Zn As
8 4
Cartesian
1.673 -2.883 -1.529
-0.563 -3.250 1.064
2.306 -5.625 -0.400
1.792 -4.394 3.335
5.126 -5.779 1.609
7.363 -5.412 -0.984
4.493 -3.036 0.480
5.008 -4.267 -3.255
3.234 -2.464 -3.565
5.563 -1.947 2.520
1.977 -3.423 0.943
4.823 -5.238 -0.863

***

No. 10
TbSm6YSc2 (PBE, optimized geometry); total magnetic moment = 0.00 μB/cell; energy of formation = 123 meV per atom; symmetry = C2/c
1.0
-6.336 7.008 -0.909
-6.104 -6.210 0.947
3.585 3.366 7.247
Tb Sm Y Sc
2 12 2 4
Cartesian
-1.953 1.211 4.449
-6.902 2.954 2.836
1.700 2.218 5.571
-1.124 4.634 6.242
-10.555 1.947 1.714
-7.731 -0.469 1.043
-6.446 -2.408 3.833
-4.519 -2.148 0.474
-2.409 6.573 3.452
-4.336 6.312 6.811
-3.262 -1.863 4.154
-4.426 0.546 2.284
-5.593 6.028 3.131
-4.428 3.619 5.001
-7.420 -4.193 0.893
-1.434 8.358 6.392
-5.262 0.545 5.417
-1.425 -0.873 1.672
-3.592 3.620 1.868
-7.430 5.038 5.614

***

No. 11
Dy3Er2Co2 (PBE, optimized geometry); total magnetic moment = 0.00 μB/cell; energy of formation = -173 meV per atom; symmetry = C2/m
1.0
-0.088 0.397 -3.637
5.905 -1.077 1.580
-5.008 -7.174 -0.662
Dy Er Co
3 2 2
Cartesian
-0.044 0.199 -1.818
-0.810 -3.073 -2.157
1.619 -4.781 -0.562
2.825 -1.773 -2.103
-2.016 -6.081 -0.615
-0.087 -5.811 -2.474
0.896 -2.042 -0.245

***

No. 12
Ca2AlGeRh (PBE, optimized geometry); total magnetic moment = 0.32 μB/cell; energy of formation = 316 meV per atom; symmetry = P4/mmm
1.0
-4.815 1.347 -2.299
2.027 -1.229 -4.967
-1.435 -4.308 0.480
Ge Rh Ca Al
1 1 2 1
Cartesian
0.000 0.000 0.000
-2.111 -2.094 -3.393
1.014 -0.614 -2.483
-2.408 0.674 -1.149
-0.717 -2.154 0.240